(1)
Entry from the Alexandria database: BeTe2Pb at its PBEsol-relaxed geometry (SCAN).

Structure (CIF):
```
data_BeTe2Pb
_chemical_formula_sum 'Be1 Te2 Pb1'
_cell_length_a 7.521
_cell_length_b 7.521
_cell_length_c 7.521
_cell_angle_alpha 31.16
_cell_angle_beta 31.16
_cell_angle_gamma 31.16
_symmetry_space_group_name_H-M 'P 1'
_symmetry_Int_Tables_number 1
_symmetry_space_group_name_Hall 'P 1'
loop_
_atom_site_label
_atom_site_type_symbol
_atom_site_fract_x
_atom_site_fract_y
_atom_site_fract_z
Be1 Be 0.000 0.000 0.000
Te1 Te 0.269 0.269 0.269
Te2 Te 0.731 0.731 0.731
Pb1 Pb 0.500 0.500 0.500
```

Output
space group = R-3m (166)
magnetic moment = 0.0 μB per cell
formation energy from raw total energies = -0.073 eV per atom

=====

(2)
Entry from the Alexandria database: TiBe3Pb at its PBEsol-relaxed geometry (SCAN).

Structure (CIF):
```
data_TiBe3Pb
_chemical_formula_sum 'Ti1 Be3 Pb1'
_cell_length_a 4.497
_cell_length_b 4.497
_cell_length_c 4.497
_cell_angle_alpha 90.00
_cell_angle_beta 90.00
_cell_angle_gamma 90.00
_symmetry_space_group_name_H-M 'P 1'
_symmetry_Int_Tables_number 1
_symmetry_space_group_name_Hall 'P 1'
loop_
_atom_site_label
_atom_site_type_symbol
_atom_site_fract_x
_atom_site_fract_y
_atom_site_fract_z
Ti1 Ti 0.000 0.000 0.000
Be1 Be 0.000 0.500 0.500
Be2 Be 0.500 0.000 0.500
Be3 Be 0.500 0.500 0.000
Pb1 Pb 0.500 0.500 0.500
```

Output
energy relative to the elements = 1.4091 eV/atom
space group = Pm-3m (221)
magnetic moment = 0.0 μB per cell

=====

(3)
Entry from the Alexandria database: Ti3BePb at its PBEsol-relaxed geometry (SCAN).

Structure (CIF):
```
data_Ti3BePb
_chemical_formula_sum 'Ti3 Be1 Pb1'
_cell_length_a 4.399
_cell_length_b 4.399
_cell_length_c 4.399
_cell_angle_alpha 90.00
_cell_angle_beta 90.00
_cell_angle_gamma 90.00
_symmetry_space_group_name_H-M 'P 1'
_symmetry_Int_Tables_number 1
_symmetry_space_group_name_Hall 'P 1'
loop_
_atom_site_label
_atom_site_type_symbol
_atom_site_fract_x
_atom_site_fract_y
_atom_site_fract_z
Ti1 Ti 0.000 0.000 0.500
Ti2 Ti 0.000 0.500 0.000
Ti3 Ti 0.500 0.000 0.000
Be1 Be 0.000 0.000 0.000
Pb1 Pb 0.500 0.500 0.500
```

Output
energy relative to the elements = 0.0122 eV/atom
space group = Pm-3m (221)
magnetic moment = 0.0 μB per cell

=====

(4)
Entry from the Alexandria database: BeTlPb2 at its PBEsol-relaxed geometry (SCAN).

Structure (CIF):
```
data_BeTlPb2
_chemical_formula_sum 'Be1 Tl1 Pb2'
_cell_length_a 3.346
_cell_length_b 3.346
_cell_length_c 8.786
_cell_angle_alpha 90.00
_cell_angle_beta 90.00
_cell_angle_gamma 90.00
_symmetry_space_group_name_H-M 'P 1'
_symmetry_Int_Tables_number 1
_symmetry_space_group_name_Hall 'P 1'
loop_
_atom_site_label
_atom_site_type_symbol
_atom_site_fract_x
_atom_site_fract_y
_atom_site_fract_z
Be1 Be 0.000 0.000 0.000
Tl1 Tl 0.000 0.000 0.500
Pb1 Pb 0.500 0.500 0.193
Pb2 Pb 0.500 0.500 0.807
```

Output
energy relative to the elements = 0.3045 eV/atom
space group = P4/mmm (123)
magnetic moment = 0.0 μB per cell

=====

(5)
Entry from the Alexandria database: BePbW2 at its PBEsol-relaxed geometry (SCAN).

Structure (CIF):
```
data_BePbW2
_chemical_formula_sum 'Be1 Pb1 W2'
_cell_length_a 5.058
_cell_length_b 5.058
_cell_length_c 5.058
_cell_angle_alpha 142.95
_cell_angle_beta 125.66
_cell_angle_gamma 67.60
_symmetry_space_group_name_H-M 'P 1'
_symmetry_Int_Tables_number 1
_symmetry_space_group_name_Hall 'P 1'
loop_
_atom_site_label
_atom_site_type_symbol
_atom_site_fract_x
_atom_site_fract_y
_atom_site_fract_z
Be1 Be 0.000 0.000 0.000
Pb1 Pb 0.500 0.500 0.000
W1 W 0.211 0.711 0.500
W2 W 0.789 0.289 0.500
```

Output
energy relative to the elements = 0.8361 eV/atom
space group = Immm (71)
magnetic moment = 0.0 μB per cell

=====

(6)
Entry from the Alexandria database: Be2PbW at its PBEsol-relaxed geometry (SCAN).

Structure (CIF):
```
data_Be2PbW
_chemical_formula_sum 'Be4 Pb2 W2'
_cell_length_a 5.483
_cell_length_b 5.483
_cell_length_c 5.483
_cell_angle_alpha 104.28
_cell_angle_beta 104.28
_cell_angle_gamma 120.45
_symmetry_space_group_name_H-M 'P 1'
_symmetry_Int_Tables_number 1
_symmetry_space_group_name_Hall 'P 1'
loop_
_atom_site_label
_atom_site_type_symbol
_atom_site_fract_x
_atom_site_fract_y
_atom_site_fract_z
Be1 Be 0.105 0.125 0.480
Be2 Be 0.375 0.895 0.020
Be3 Be 0.645 0.625 0.520
Be4 Be 0.875 0.355 0.980
Pb1 Pb 0.250 0.750 0.500
Pb2 Pb 0.500 0.500 0.000
W1 W 0.000 0.000 0.000
W2 W 0.750 0.250 0.500
```

Output
energy relative to the elements = 1.0516 eV/atom
space group = I-42d (122)
magnetic moment = 0.0 μB per cell

=====

(7)
Entry from the Alexandria database: BePbW2 at its PBEsol-relaxed geometry (SCAN).

Structure (CIF):
```
data_BePbW2
_chemical_formula_sum 'Be1 Pb1 W2'
_cell_length_a 2.862
_cell_length_b 4.387
_cell_length_c 5.331
_cell_angle_alpha 90.00
_cell_angle_beta 97.42
_cell_angle_gamma 90.00
_symmetry_space_group_name_H-M 'P 1'
_symmetry_Int_Tables_number 1
_symmetry_space_group_name_Hall 'P 1'
loop_
_atom_site_label
_atom_site_type_symbol
_atom_site_fract_x
_atom_site_fract_y
_atom_site_fract_z
Be1 Be 0.000 0.000 0.000
Pb1 Pb 0.500 0.000 0.500
W1 W 0.278 0.500 0.786
W2 W 0.722 0.500 0.214
```

Output
energy relative to the elements = 0.8787 eV/atom
space group = P2/m (10)
magnetic moment = 0.0 μB per cell

=====

(8)
Entry from the Alexandria database: Y2BePb at its PBEsol-relaxed geometry (SCAN).

Structure (CIF):
```
data_Y2BePb
_chemical_formula_sum 'Y2 Be1 Pb1'
_cell_length_a 4.732
_cell_length_b 4.732
_cell_length_c 6.524
_cell_angle_alpha 102.71
_cell_angle_beta 102.71
_cell_angle_gamma 45.83
_symmetry_space_group_name_H-M 'P 1'
_symmetry_Int_Tables_number 1
_symmetry_space_group_name_Hall 'P 1'
loop_
_atom_site_label
_atom_site_type_symbol
_atom_site_fract_x
_atom_site_fract_y
_atom_site_fract_z
Y1 Y 0.240 0.240 0.219
Y2 Y 0.760 0.760 0.781
Be1 Be 0.500 0.500 0.000
Pb1 Pb 0.000 0.000 0.500
```

Output
energy relative to the elements = -0.1461 eV/atom
space group = C2/m (12)
magnetic moment = 0.0 μB per cell

=====

(9)
Entry from the Alexandria database: YBePb2 at its PBEsol-relaxed geometry (SCAN).

Structure (CIF):
```
data_YBePb2
_chemical_formula_sum 'Y1 Be1 Pb2'
_cell_length_a 3.665
_cell_length_b 3.679
_cell_length_c 6.847
_cell_angle_alpha 90.00
_cell_angle_beta 90.00
_cell_angle_gamma 90.00
_symmetry_space_group_name_H-M 'P 1'
_symmetry_Int_Tables_number 1
_symmetry_space_group_name_Hall 'P 1'
loop_
_atom_site_label
_atom_site_type_symbol
_atom_site_fract_x
_atom_site_fract_y
_atom_site_fract_z
Y1 Y 0.000 0.000 0.000
Be1 Be 0.000 0.000 0.500
Pb1 Pb 0.500 0.500 0.284
Pb2 Pb 0.500 0.500 0.716
```

Output
energy relative to the elements = 0.0357 eV/atom
space group = Pmmm (47)
magnetic moment = 0.0 μB per cell

=====

(10)
Entry from the Alexandria database: Y2BePb at its PBEsol-relaxed geometry (SCAN).

Structure (CIF):
```
data_Y2BePb
_chemical_formula_sum 'Y2 Be1 Pb1'
_cell_length_a 5.999
_cell_length_b 5.999
_cell_length_c 5.999
_cell_angle_alpha 138.02
_cell_angle_beta 138.02
_cell_angle_gamma 60.88
_symmetry_space_group_name_H-M 'P 1'
_symmetry_Int_Tables_number 1
_symmetry_space_group_name_Hall 'P 1'
loop_
_atom_site_label
_atom_site_type_symbol
_atom_site_fract_x
_atom_site_fract_y
_atom_site_fract_z
Y1 Y 0.000 0.000 0.000
Y2 Y 0.750 0.250 0.500
Be1 Be 0.500 0.500 0.000
Pb1 Pb 0.250 0.750 0.500
```

Output
energy relative to the elements = -0.1629 eV/atom
space group = I-4m2 (119)
magnetic moment = 0.0 μB per cell

=====

(11)
Entry from the Alexandria database: Y2BePb at its PBEsol-relaxed geometry (SCAN).

Structure (CIF):
```
data_Y2BePb
_chemical_formula_sum 'Y2 Be1 Pb1'
_cell_length_a 3.424
_cell_length_b 3.424
_cell_length_c 8.230
_cell_angle_alpha 90.00
_cell_angle_beta 90.00
_cell_angle_gamma 90.00
_symmetry_space_group_name_H-M 'P 1'
_symmetry_Int_Tables_number 1
_symmetry_space_group_name_Hall 'P 1'
loop_
_atom_site_label
_atom_site_type_symbol
_atom_site_fract_x
_atom_site_fract_y
_atom_site_fract_z
Y1 Y 0.000 0.000 0.000
Y2 Y 0.500 0.500 0.319
Be1 Be 0.000 0.000 0.539
Pb1 Pb 0.500 0.500 0.715
```

Output
energy relative to the elements = -0.0221 eV/atom
space group = P4mm (99)
magnetic moment = 0.3 μB per cell

=====

(12)
Entry from the Alexandria database: YBePb2 at its PBEsol-relaxed geometry (SCAN).

Structure (CIF):
```
data_YBePb2
_chemical_formula_sum 'Y1 Be1 Pb2'
_cell_length_a 5.885
_cell_length_b 5.885
_cell_length_c 5.885
_cell_angle_alpha 138.95
_cell_angle_beta 135.88
_cell_angle_gamma 61.84
_symmetry_space_group_name_H-M 'P 1'
_symmetry_Int_Tables_number 1
_symmetry_space_group_name_Hall 'P 1'
loop_
_atom_site_label
_atom_site_type_symbol
_atom_site_fract_x
_atom_site_fract_y
_atom_site_fract_z
Y1 Y 0.000 0.000 0.000
Be1 Be 0.248 0.748 0.500
Pb1 Pb 0.462 0.462 0.000
Pb2 Pb 0.732 0.232 0.500
```

Output
energy relative to the elements = -0.0902 eV/atom
space group = Imm2 (44)
magnetic moment = 0.0 μB per cell

=====

(13)
Entry from the Alexandria database: YBe3Pb at its PBEsol-relaxed geometry (SCAN).

Structure (CIF):
```
data_YBe3Pb
_chemical_formula_sum 'Y1 Be3 Pb1'
_cell_length_a 4.964
_cell_length_b 4.964
_cell_length_c 4.964
_cell_angle_alpha 90.00
_cell_angle_beta 90.00
_cell_angle_gamma 90.00
_symmetry_space_group_name_H-M 'P 1'
_symmetry_Int_Tables_number 1
_symmetry_space_group_name_Hall 'P 1'
loop_
_atom_site_label
_atom_site_type_symbol
_atom_site_fract_x
_atom_site_fract_y
_atom_site_fract_z
Y1 Y 0.000 0.000 0.000
Be1 Be 0.000 0.000 0.500
Be2 Be 0.000 0.500 0.000
Be3 Be 0.500 0.000 0.000
Pb1 Pb 0.500 0.500 0.500
```

Output
energy relative to the elements = 1.6923 eV/atom
space group = Pm-3m (221)
magnetic moment = 1.4 μB per cell

=====

(14)
Entry from the Alexandria database: YBePb2 at its PBEsol-relaxed geometry (SCAN).

Structure (CIF):
```
data_YBePb2
_chemical_formula_sum 'Y1 Be1 Pb2'
_cell_length_a 3.410
_cell_length_b 4.305
_cell_length_c 6.506
_cell_angle_alpha 90.00
_cell_angle_beta 90.26
_cell_angle_gamma 90.00
_symmetry_space_group_name_H-M 'P 1'
_symmetry_Int_Tables_number 1
_symmetry_space_group_name_Hall 'P 1'
loop_
_atom_site_label
_atom_site_type_symbol
_atom_site_fract_x
_atom_site_fract_y
_atom_site_fract_z
Y1 Y 0.000 0.000 0.000
Be1 Be 0.500 0.000 0.500
Pb1 Pb 0.495 0.500 0.737
Pb2 Pb 0.505 0.500 0.263
```

Output
energy relative to the elements = -0.0531 eV/atom
space group = P2/m (10)
magnetic moment = 0.0 μB per cell

=====

(15)
Entry from the Alexandria database: BeZn2Pb at its PBEsol-relaxed geometry (SCAN).

Structure (CIF):
```
data_BeZn2Pb
_chemical_formula_sum 'Be1 Zn2 Pb1'
_cell_length_a 3.683
_cell_length_b 4.121
_cell_length_c 4.845
_cell_angle_alpha 90.00
_cell_angle_beta 90.00
_cell_angle_gamma 90.00
_symmetry_space_group_name_H-M 'P 1'
_symmetry_Int_Tables_number 1
_symmetry_space_group_name_Hall 'P 1'
loop_
_atom_site_label
_atom_site_type_symbol
_atom_site_fract_x
_atom_site_fract_y
_atom_site_fract_z
Be1 Be 0.000 0.000 0.000
Zn1 Zn 0.000 0.500 0.246
Zn2 Zn 0.000 0.500 0.754
Pb1 Pb 0.500 0.000 0.500
```

Output
energy relative to the elements = 0.3247 eV/atom
space group = Pmmm (47)
magnetic moment = 0.0 μB per cell